This record from Alexandria describes an optimized crystal structure of CsTl2Os. The functional is PBE-GGA.

Polymorph energy (0 for the lowest one) = 0 meV/atom
Space-group type = I4_1/amd (141)
Raw total energy = -56.44 eV/cell

Lattice parameters (Å, degrees): 7.0882 7.0882 15.1094 90.00 90.00 90.00
Positions (direct):
Cs 0.0000 0.2500 0.3750
Cs 0.0000 0.7500 0.6250
Cs 0.5000 0.2500 0.1250
Cs 0.5000 0.7500 0.8750
Tl 0.0000 0.0000 0.0000
Tl 0.0000 0.5000 0.0000
Tl 0.2500 0.2500 0.7500
Tl 0.2500 0.7500 0.2500
Tl 0.5000 0.0000 0.5000
Tl 0.5000 0.5000 0.5000
Tl 0.7500 0.2500 0.7500
Tl 0.7500 0.7500 0.2500
Os 0.0000 0.2500 0.8750
Os 0.0000 0.7500 0.1250
Os 0.5000 0.2500 0.6250
Os 0.5000 0.7500 0.3750

***

This record from Alexandria describes an optimized crystal structure of SmB4Ir4. The functional is PBE-GGA.

Polymorph energy (0 for the lowest one) = 0 meV/atom
Space-group type = P4_2/n (86)
Raw total energy = -143.80 eV/cell

Lattice parameters (Å, degrees): 7.6805 7.6805 3.9914 90.00 90.00 90.00
Positions (direct):
Sm 0.2500 0.2500 0.2500
Sm 0.7500 0.7500 0.7500
B 0.0287 0.9080 0.1404
B 0.0920 0.5287 0.6404
B 0.4080 0.9713 0.6404
B 0.4713 0.5920 0.1404
B 0.5287 0.4080 0.8596
B 0.5920 0.0287 0.3596
B 0.9080 0.4713 0.3596
B 0.9713 0.0920 0.8596
Ir 0.0904 0.6405 0.1394
Ir 0.1405 0.9096 0.6394
Ir 0.3595 0.5904 0.6394
Ir 0.4096 0.8595 0.1394
Ir 0.5904 0.1405 0.8606
Ir 0.6405 0.4096 0.3606
Ir 0.8595 0.0904 0.3606
Ir 0.9096 0.3595 0.8606